# SiOs2Cl PBE optimized geometry
# Formation energy without anion corrections ... 0.5325 eV per atom
# Magnetization ... 0.0 μB/f.u.
# Offset from the most stable computed form ... 207 meV/atom
# D(E_F) ... 2.08 states/eV/f.u.
data_SiOs2Cl
_symmetry_space_group_name_H-M 'C 1 2/m 1'
_symmetry_Int_Tables_number 12
_symmetry_space_group_name_Hall '-C 2y'
_cell_length_a 8.868
_cell_length_b 2.865
_cell_length_c 4.855
_cell_angle_alpha 90.00
_cell_angle_beta 101.11
_cell_angle_gamma 90.00
loop_
_atom_site_label
_atom_site_fract_x
_atom_site_fract_y
_atom_site_fract_z
_atom_site_occupancy
Si1 0.000 0.000 0.000 1
Os1 0.211 0.500 0.208 1
Cl1 0.000 0.500 0.500 1